# Na2InNi3F12

Crystalline Na2InNi3F12 at its relaxed geometry (GGA+U, Alexandria).

As for the size of the total moment: 5.00 Bohr magnetons per cell.

```
18
Lattice="-1.4332 -7.3873 0.2209 1.7583 -4.2462 5.9627 -5.2569 -2.9281 4.5239" Properties=species:S:1:pos:R:3 pbc="T T T"
F -0.4338 -7.2072 7.0833
F -3.4241 -2.8889 3.4837
F -1.2316 -5.4458 1.0163
F -1.5078 -11.6727 7.2237
F -4.8391 -6.3796 6.1798
F -3.7003 -9.1158 9.6911
F -5.5304 -10.9169 6.3987
F 0.5984 -3.6446 4.3087
F -2.4380 -9.1798 3.4776
F -4.4981 -7.3543 3.6241
F -0.0928 -8.1820 4.5276
F -2.4939 -5.3818 7.2298
In 0.0000 0.0000 0.0000
Ni -2.6285 -1.4641 2.2619
Ni 0.8791 -2.1231 2.9813
Ni -0.7166 -3.6936 0.1104
Na -1.4300 -4.2221 3.1046
Na -3.5019 -10.3394 7.6028
```



# Na2InNiF7

Crystalline Na2InNiF7 at its relaxed geometry (GGA+U, Alexandria).

As for the size of the total moment: 8.00 Bohr magnetons per cell.

```
44
Lattice="-4.8898 -2.2962 -5.1008 3.8786 -6.4650 -0.8079 -5.7512 -4.3861 7.4878" Properties=species:S:1:pos:R:3 pbc="T T T"
F -6.5074 -4.7690 5.6796
F -6.6076 -8.6544 2.1137
F 0.2043 -6.8170 -1.9703
F -1.8278 -5.5828 1.5599
F -0.0206 -1.8624 0.7953
F -5.5727 -5.7948 -2.3033
F -7.2499 -4.6865 0.9433
F -0.1548 -4.4929 -0.5345
F -4.8721 -5.8640 1.9622
F -4.9346 -7.5645 0.0193
F 2.1361 -5.9098 0.0448
F 0.4875 -8.4608 0.6359
F -1.1897 -7.3525 3.8825
F -5.6535 -3.2584 -1.2300
F -4.1363 -7.7399 4.7440
F -4.3537 -10.1635 3.2750
F -2.6261 -5.4074 -3.1648
F -0.2550 -8.3783 -4.1004
F -1.1089 -9.8888 2.8092
F -3.6409 -4.8877 -0.2882
F -6.9667 -6.3303 3.5495
F -2.4087 -2.9838 -1.6958
F -1.8903 -7.2833 -0.3830
F -4.2784 -8.4047 -2.8742
F -3.1215 -8.2596 1.8674
F -8.8985 -7.2374 1.5344
F -2.4840 -4.7426 4.4534
F -6.7418 -11.2849 0.7839
Na -2.0759 -7.5993 -2.7056
Na -4.6865 -5.5480 4.2847
Na -4.9710 -9.7598 1.0424
Na -0.5056 -4.3806 -2.9543
Na -1.7914 -3.3874 0.5368
Na 1.9393 -3.2325 -0.4040
Na -5.3205 -3.3411 1.1935
Na -2.8756 -2.1931 3.7439
In -4.1184 -4.2037 -2.2761
In -2.6440 -8.9435 3.8553
In -6.8144 -6.6961 1.4304
In 0.0520 -6.4512 0.1487
Ni 0.0000 0.0000 0.0000
Ni -0.9363 -5.4255 3.3400
Ni -2.4449 -1.1481 -2.5504
Ni -3.3812 -6.5736 0.7896
```



| no. | total DFT energy (no corrections) (eV per atom) |
| --- | --- |
| 1 | -4.228 |
| 2 | -4.464 |